[1]
## TlGaW4C2 (PBE-GGA)

Data for a relaxed TlGaW4C2 crystal.

As for the crystal system: hexagonal. The volume is 14.4 A^3/atom. The total energy is -9.196 eV per atom. Its total magnetic moment is 0.004 μB/f.u.

Unit cell a=3.1310 b=3.1310 c=13.5827 alpha=90.00 beta=90.00 gamma=120.00
Sites, in units of the cell vectors:
Tl (0.6667, 0.3333, 0.5000)
W (0.0000, 0.0000, 0.3200)
C (0.3333, 0.6667, 0.2379)
C (0.3333, 0.6667, 0.7621)
W (0.0000, 0.0000, 0.6800)
Ga (0.0000, 0.0000, 0.0000)
W (0.6667, 0.3333, 0.8476)
W (0.6667, 0.3333, 0.1524)

[2]
## Pd2SO (PBE-GGA)

Data for a relaxed Pd2SO crystal.

As for the crystal system: orthorhombic. The volume is 14.4 A^3/atom. The total energy is -5.072 eV per atom. The relative energy among the computed polymorphs is 0.187 eV/atom.

Unit cell a=3.1974 b=6.2175 c=11.5988 alpha=90.00 beta=90.00 gamma=90.00
Sites, in units of the cell vectors:
Pd (0.7500, 0.7577, 0.4848)
Pd (0.2500, 0.7423, 0.9848)
S (0.2500, 0.6805, 0.6237)
Pd (0.2500, 0.2423, 0.5152)
O (0.2500, 0.8221, 0.3656)
O (0.7500, 0.6779, 0.8656)
Pd (0.2500, 0.5866, 0.2417)
Pd (0.2500, 0.0866, 0.2583)
Pd (0.7500, 0.9134, 0.7417)
S (0.7500, 0.3195, 0.3763)
S (0.7500, 0.8195, 0.1237)
Pd (0.7500, 0.2577, 0.0152)
O (0.2500, 0.3221, 0.1344)
S (0.2500, 0.1805, 0.8763)
Pd (0.7500, 0.4134, 0.7583)
O (0.7500, 0.1779, 0.6344)

[3]
## Zr3Mo2Ir2 (PBE-GGA)

Data for a relaxed Zr3Mo2Ir2 crystal.

As for the crystal system: trigonal. The volume is 19.3 A^3/atom. The total energy is -9.222 eV per atom. The calculation puts the formation energy at 0.071 eV per atom. Its total magnetic moment is 0.873 μB/f.u.

Unit cell a=7.8801 b=7.8801 c=7.8801 alpha=33.78 beta=33.78 gamma=33.78
Sites, in units of the cell vectors:
Zr (0.6262, 0.6262, 0.6262)
Ir (0.0011, 0.0011, 0.0011)
Mo (0.2455, 0.2455, 0.2455)
Zr (0.8714, 0.8714, 0.8714)
Mo (0.7532, 0.7532, 0.7532)
Ir (0.4983, 0.4983, 0.4983)
Zr (0.3794, 0.3794, 0.3794)

[4]
## TaHgO3 (PBE-GGA)

Data for a relaxed TaHgO3 crystal.

As for the crystal system: trigonal. The volume is 12.9 A^3/atom. The total energy is -7.236 eV per atom. Its total magnetic moment is 0.000 μB/f.u.

Unit cell a=5.6675 b=5.6675 c=5.6675 alpha=60.06 beta=60.06 gamma=60.06
Sites, in units of the cell vectors:
O (0.2500, 0.7527, 0.7473)
O (0.7473, 0.2500, 0.7527)
O (0.7500, 0.2473, 0.2527)
O (0.2473, 0.2527, 0.7500)
Ta (0.0000, 0.0000, 0.0000)
Hg (0.2500, 0.2500, 0.2500)
O (0.2527, 0.7500, 0.2473)
O (0.7527, 0.7473, 0.2500)
Hg (0.7500, 0.7500, 0.7500)
Ta (0.5000, 0.5000, 0.5000)

[5]
## NaTmZnTe3 (PBE-GGA)

Data for a relaxed NaTmZnTe3 crystal.

As for the crystal system: orthorhombic. The volume is 30.3 A^3/atom. The total energy is -3.720 eV per atom. Its total magnetic moment is 0.002 μB/f.u. The relative energy among the computed polymorphs is 0.000 eV/atom.

Unit cell a=7.6935 b=7.6935 c=11.4942 alpha=90.00 beta=90.00 gamma=32.25
Sites, in units of the cell vectors:
Tm (0.0000, 0.0000, 0.0000)
Tm (0.0000, 0.0000, 0.5000)
Te (0.6382, 0.6382, 0.9357)
Na (0.2371, 0.2371, 0.7500)
Te (0.0828, 0.0828, 0.2500)
Te (0.6382, 0.6382, 0.5643)
Zn (0.5316, 0.5316, 0.7500)
Te (0.9172, 0.9172, 0.7500)
Te (0.3618, 0.3618, 0.0643)
Zn (0.4684, 0.4684, 0.2500)
Na (0.7629, 0.7629, 0.2500)
Te (0.3618, 0.3618, 0.4357)

[6]
## Na2Be2Zn3 (PBE-GGA)

Data for a relaxed Na2Be2Zn3 crystal.

As for the crystal system: trigonal. The volume is 16.6 A^3/atom. The total energy is -1.673 eV per atom.

Unit cell a=8.1025 b=8.1025 c=8.1025 alpha=29.77 beta=29.77 gamma=29.77
Sites, in units of the cell vectors:
Zn (0.9055, 0.9055, 0.9055)
Na (0.1604, 0.1604, 0.1604)
Be (0.5457, 0.5457, 0.5457)
Na (0.7625, 0.7625, 0.7625)
Zn (0.3491, 0.3491, 0.3491)
Zn (0.6423, 0.6423, 0.6423)
Be (0.0095, 0.0095, 0.0095)

[7]
## SrYAgTeSe2 (PBE-GGA)

Data for a relaxed SrYAgTeSe2 crystal.

As for the crystal system: orthorhombic. The volume is 28.0 A^3/atom. The total energy is -4.905 eV per atom. Its total magnetic moment is 0.000 μB/f.u.

Unit cell a=7.5945 b=7.5945 c=11.0323 alpha=90.00 beta=90.00 gamma=148.12
Sites, in units of the cell vectors:
Ag (0.4782, 0.5218, 0.7500)
Ag (0.5218, 0.4782, 0.2500)
Se (0.3679, 0.6321, 0.9394)
Se (0.6321, 0.3679, 0.0606)
Te (0.8963, 0.1037, 0.2500)
Y (0.0000, 0.0000, 0.5000)
Te (0.1037, 0.8963, 0.7500)
Y (0.0000, 0.0000, 0.0000)
Sr (0.2193, 0.7807, 0.2500)
Se (0.3679, 0.6321, 0.5606)
Se (0.6321, 0.3679, 0.4394)
Sr (0.7807, 0.2193, 0.7500)

[8]
## AcThZn (PBE-GGA)

Data for a relaxed AcThZn crystal.

As for the crystal system: cubic. The volume is 33.0 A^3/atom. The total energy is -4.077 eV per atom. The calculation puts the formation energy at 0.184 eV per atom. Its total magnetic moment is 0.000 μB/f.u.

Unit cell a=5.1908 b=5.1908 c=5.1908 alpha=60.00 beta=60.00 gamma=60.00
Sites, in units of the cell vectors:
Ac (0.2500, 0.2500, 0.2500)
Th (0.7500, 0.7500, 0.7500)
Zn (0.0000, 0.0000, 0.0000)

[9]
## Mg2CoCu4Ni (PBE-GGA)

Data for a relaxed Mg2CoCu4Ni crystal.

As for the crystal system: tetragonal. The volume is 12.5 A^3/atom. The total energy is -3.790 eV per atom. Its total magnetic moment is 0.000 μB/f.u.

Unit cell a=4.1437 b=4.1437 c=5.8462 alpha=90.00 beta=90.00 gamma=90.00
Sites, in units of the cell vectors:
Co (0.5000, 0.5000, 0.0000)
Cu (0.0000, 0.5000, 0.7525)
Cu (0.5000, 0.0000, 0.2475)
Mg (0.0000, 0.0000, 0.0000)
Mg (0.5000, 0.5000, 0.5000)
Ni (0.0000, 0.0000, 0.5000)
Cu (0.5000, 0.0000, 0.7525)
Cu (0.0000, 0.5000, 0.2475)

[10]
## LiPuAg (PBE-GGA)

Data for a relaxed LiPuAg crystal.

As for the crystal system: cubic. The volume is 23.6 A^3/atom. The total energy is -5.902 eV per atom. Its total magnetic moment is 6.614 μB/f.u.

Unit cell a=4.6446 b=4.6446 c=4.6446 alpha=60.00 beta=60.00 gamma=60.00
Each line ends with the local moment (μB).
Sites, in units of the cell vectors:
Pu (0.2500, 0.2500, 0.2500)  5.73
Ag (0.7500, 0.7500, 0.7500)  0.04
Li (0.5000, 0.5000, 0.5000)  0.13

[11]
## CsTmSb (PBE-GGA)

Data for a relaxed CsTmSb crystal.

As for the crystal system: cubic. The volume is 36.9 A^3/atom. The total energy is -3.081 eV per atom. Its total magnetic moment is 0.015 μB/f.u.

Unit cell a=5.3905 b=5.3905 c=5.3905 alpha=60.00 beta=60.00 gamma=60.00
Sites, in units of the cell vectors:
Sb (0.7500, 0.7500, 0.7500)
Cs (0.2500, 0.2500, 0.2500)
Tm (0.0000, 0.0000, 0.0000)

[12]
## GdCoCuGe2 (PBE-GGA)

Data for a relaxed GdCoCuGe2 crystal.

As for the crystal system: tetragonal. The volume is 16.7 A^3/atom. The total energy is -5.456 eV per atom. Its total magnetic moment is 0.761 μB/f.u.

Unit cell a=5.8191 b=5.8191 c=5.8191 alpha=139.18 beta=139.18 gamma=59.10
Each line ends with the local moment (μB).
Sites, in units of the cell vectors:
Co (0.0000, 0.0000, 0.0000)  0.67
Ge (0.3753, 0.8753, 0.5000)  0.00
Ge (0.1247, 0.6247, 0.5000)  0.00
Cu (0.5000, 0.5000, 0.0000)  0.03
Gd (0.7500, 0.2500, 0.5000)  0.03